# PmAg2Ge, relaxed, DFT GGA-PBE
# E above lowest polymorph = 0 meV per atom
# Energy of formation = -0.2478 eV per atom
# Crystal system = tetragonal
data_PmAg2Ge
_chemical_formula_sum 'Pm1 Ag2 Ge1'
_symmetry_space_group_name_H-M 'P 4/m m m'
_symmetry_Int_Tables_number 123
_symmetry_space_group_name_Hall '-P 4 2'
_cell_length_a 4.2797
_cell_length_b 4.2797
_cell_length_c 4.7863
_cell_angle_alpha 90.00
_cell_angle_beta 90.00
_cell_angle_gamma 90.00
loop_
_atom_site_label
_atom_site_type_symbol
_atom_site_fract_x
_atom_site_fract_y
_atom_site_fract_z
Pm1 Pm 0.0000 0.0000 0.0000
Ag1 Ag 0.0000 0.5000 0.5000
Ge1 Ge 0.5000 0.5000 0.0000

---

# CaZn2Rh2, relaxed, DFT GGA-PBE
# E above lowest polymorph = 69 meV per atom
# Energy of formation = -0.3350 eV per atom
# Crystal system = tetragonal
data_CaZn2Rh2
_chemical_formula_sum 'Ca2 Zn4 Rh4'
_symmetry_space_group_name_H-M 'I 4/m m m'
_symmetry_Int_Tables_number 139
_symmetry_space_group_name_Hall '-I 4 2'
_cell_length_a 4.1646
_cell_length_b 4.1646
_cell_length_c 10.6941
_cell_angle_alpha 90.00
_cell_angle_beta 90.00
_cell_angle_gamma 90.00
loop_
_atom_site_label
_atom_site_type_symbol
_atom_site_fract_x
_atom_site_fract_y
_atom_site_fract_z
Ca1 Ca 0.0000 0.0000 0.0000
Zn1 Zn 0.0000 0.5000 0.2500
Rh1 Rh 0.0000 0.0000 0.3833

---

# YTiGe, relaxed, DFT GGA-PBE
# Energy of formation = -0.6894 eV per atom
# Crystal system = tetragonal
data_YTiGe
_chemical_formula_sum 'Y4 Ti4 Ge4'
_symmetry_space_group_name_H-M 'I 4/m m m'
_symmetry_Int_Tables_number 139
_symmetry_space_group_name_Hall '-I 4 2'
_cell_length_a 4.0586
_cell_length_b 4.0586
_cell_length_c 15.4508
_cell_angle_alpha 90.00
_cell_angle_beta 90.00
_cell_angle_gamma 90.00
loop_
_atom_site_label
_atom_site_type_symbol
_atom_site_fract_x
_atom_site_fract_y
_atom_site_fract_z
Y1 Y 0.0000 0.0000 0.1742
Ti1 Ti 0.0000 0.5000 0.0000
Ge1 Ge 0.0000 0.0000 0.3775

---

# ErSc2GaAu4, relaxed, DFT GGA-PBE
# Energy of formation = -0.7098 eV per atom
# Crystal system = trigonal
data_ErSc2GaAu4
_chemical_formula_sum 'Er3 Sc6 Ga3 Au12'
_symmetry_space_group_name_H-M 'R -3 m'
_symmetry_Int_Tables_number 166
_symmetry_space_group_name_Hall '-R 3 2"'
_cell_length_a 4.7584
_cell_length_b 4.7584
_cell_length_c 24.4165
_cell_angle_alpha 90.00
_cell_angle_beta 90.00
_cell_angle_gamma 120.00
loop_
_atom_site_label
_atom_site_type_symbol
_atom_site_fract_x
_atom_site_fract_y
_atom_site_fract_z
Er1 Er 0.0000 0.0000 0.0000
Sc1 Sc 0.0000 0.0000 0.2416
Ga1 Ga 0.0000 0.0000 0.5000
Au1 Au 0.0000 0.0000 0.1209
Au2 Au 0.0000 0.0000 0.3836

---

# Tb6Ga3Te, relaxed, DFT GGA-PBE
# Crystal system = orthorhombic
# Formation energy from raw total energies = -0.476 eV/atom
data_Tb6Ga3Te
_chemical_formula_sum 'Tb24 Ga12 Te4'
_symmetry_space_group_name_H-M 'C m c 21'
_symmetry_Int_Tables_number 36
_symmetry_space_group_name_Hall 'C 2c -2'
_cell_length_a 10.5239
_cell_length_b 14.2172
_cell_length_c 7.4792
_cell_angle_alpha 90.00
_cell_angle_beta 90.00
_cell_angle_gamma 90.00
loop_
_atom_site_label
_atom_site_type_symbol
_atom_site_fract_x
_atom_site_fract_y
_atom_site_fract_z
Tb1 Tb 0.0000 0.0136 0.0000
Tb2 Tb 0.0000 0.2868 0.0855
Tb3 Tb 0.1895 0.2916 0.5039
Tb4 Tb 0.2076 0.4618 0.1399
Ga1 Ga 0.0000 0.4463 0.4078
Ga2 Ga 0.1423 0.1244 0.2796
Te1 Te 0.0000 0.1717 0.7339

---

# LaCu2Sn, relaxed, DFT GGA-PBE
# Energy of formation = -0.1167 eV per atom
# Crystal system = tetragonal
data_LaCu2Sn
_chemical_formula_sum 'La4 Cu8 Sn4'
_symmetry_space_group_name_H-M 'I -4 2 d'
_symmetry_Int_Tables_number 122
_symmetry_space_group_name_Hall 'I -4 2bw'
_cell_length_a 4.7808
_cell_length_b 4.7808
_cell_length_c 17.6178
_cell_angle_alpha 90.00
_cell_angle_beta 90.00
_cell_angle_gamma 90.00
loop_
_atom_site_label
_atom_site_type_symbol
_atom_site_fract_x
_atom_site_fract_y
_atom_site_fract_z
La1 La 0.0000 0.0000 0.0000
Cu1 Cu 0.0504 0.2500 0.6250
Sn1 Sn 0.0000 0.0000 0.5000

---

# Zr2TcMo, relaxed, DFT GGA-PBE
# Energy of formation = -0.0348 eV per atom
# Crystal system = monoclinic
data_Zr2TcMo
_chemical_formula_sum 'Zr2 Tc1 Mo1'
_symmetry_space_group_name_H-M 'P 1 m 1'
_symmetry_Int_Tables_number 6
_symmetry_space_group_name_Hall 'P -2y'
_cell_length_a 3.0498
_cell_length_b 4.5666
_cell_length_c 5.4285
_cell_angle_alpha 90.00
_cell_angle_beta 103.15
_cell_angle_gamma 90.00
loop_
_atom_site_label
_atom_site_type_symbol
_atom_site_fract_x
_atom_site_fract_y
_atom_site_fract_z
Zr1 Zr 0.0000 0.0000 0.0000
Zr2 Zr 0.2832 0.5000 0.7255
Tc1 Tc 0.5231 0.0000 0.4787
Mo1 Mo 0.7450 0.5000 0.2522

---

# Y2TlPdSe, relaxed, DFT GGA-PBE
# Crystal system = tetragonal
# Formation energy from raw total energies = -0.405 eV/atom
data_Y2TlPdSe
_chemical_formula_sum 'Y2 Tl1 Pd1 Se1'
_symmetry_space_group_name_H-M 'P 4/m m m'
_symmetry_Int_Tables_number 123
_symmetry_space_group_name_Hall '-P 4 2'
_cell_length_a 5.4090
_cell_length_b 5.4090
_cell_length_c 5.0917
_cell_angle_alpha 90.00
_cell_angle_beta 90.00
_cell_angle_gamma 90.00
loop_
_atom_site_label
_atom_site_type_symbol
_atom_site_fract_x
_atom_site_fract_y
_atom_site_fract_z
Y1 Y 0.0000 0.5000 0.0000
Tl1 Tl 0.0000 0.0000 0.5000
Pd1 Pd 0.0000 0.0000 0.0000
Se1 Se 0.5000 0.5000 0.5000

---

# NaCd2F5, relaxed, DFT GGA-PBE
# E above lowest polymorph = 64 meV per atom
# Crystal system = orthorhombic
# Formation energy from raw total energies = -2.262 eV/atom
data_NaCd2F5
_chemical_formula_sum 'Na4 Cd8 F20'
_symmetry_space_group_name_H-M 'P n m a'
_symmetry_Int_Tables_number 62
_symmetry_space_group_name_Hall '-P 2ac 2n'
_cell_length_a 10.1794
_cell_length_b 6.7081
_cell_length_c 6.0991
_cell_angle_alpha 90.00
_cell_angle_beta 90.00
_cell_angle_gamma 90.00
loop_
_atom_site_label
_atom_site_type_symbol
_atom_site_fract_x
_atom_site_fract_y
_atom_site_fract_z
Na1 Na 0.0000 0.2500 0.0017
Cd1 Cd 0.1771 0.0000 0.4891
F1 F 0.0001 0.2500 0.4987
F2 F 0.1159 0.0008 0.8406
F3 F 0.1924 0.7500 0.2041
F4 F 0.1935 0.2500 0.2043

---

# Th2MgCu, relaxed, DFT GGA-PBE
# E above lowest polymorph = 286 meV per atom
# Energy of formation = 0.3090 eV per atom
# Crystal system = trigonal
data_Th2MgCu
_chemical_formula_sum 'Th6 Mg3 Cu3'
_symmetry_space_group_name_H-M 'R -3 m'
_symmetry_Int_Tables_number 166
_symmetry_space_group_name_Hall '-R 3 2"'
_cell_length_a 3.3940
_cell_length_b 3.3940
_cell_length_c 33.8498
_cell_angle_alpha 90.00
_cell_angle_beta 90.00
_cell_angle_gamma 120.00
loop_
_atom_site_label
_atom_site_type_symbol
_atom_site_fract_x
_atom_site_fract_y
_atom_site_fract_z
Th1 Th 0.0000 0.0000 0.1000
Mg1 Mg 0.0000 0.0000 0.0000
Cu1 Cu 0.0000 0.0000 0.5000

---

# MgOsCl2, relaxed, DFT GGA-PBE
# E above lowest polymorph = 834 meV per atom
# Crystal system = cubic
# Formation energy from raw total energies = 0.616 eV/atom
data_MgOsCl2
_chemical_formula_sum 'Mg4 Os4 Cl8'
_symmetry_space_group_name_H-M 'F m -3 m'
_symmetry_Int_Tables_number 225
_symmetry_space_group_name_Hall '-F 4 2 3'
_cell_length_a 6.5364
_cell_length_b 6.5364
_cell_length_c 6.5364
_cell_angle_alpha 90.00
_cell_angle_beta 90.00
_cell_angle_gamma 90.00
loop_
_atom_site_label
_atom_site_type_symbol
_atom_site_fract_x
_atom_site_fract_y
_atom_site_fract_z
Mg1 Mg 0.0000 0.0000 0.0000
Os1 Os 0.0000 0.0000 0.5000
Cl1 Cl 0.2500 0.2500 0.2500

---

# K4HoNp3S8, relaxed, DFT GGA-PBE
# Crystal system = trigonal
# Formation energy from raw total energies = -1.512 eV/atom
data_K4HoNp3S8
_chemical_formula_sum 'K12 Ho3 Np9 S24'
_symmetry_space_group_name_H-M 'R -3 m'
_symmetry_Int_Tables_number 166
_symmetry_space_group_name_Hall '-R 3 2"'
_cell_length_a 8.1660
_cell_length_b 8.1660
_cell_length_c 22.0621
_cell_angle_alpha 90.00
_cell_angle_beta 90.00
_cell_angle_gamma 120.00
loop_
_atom_site_label
_atom_site_type_symbol
_atom_site_fract_x
_atom_site_fract_y
_atom_site_fract_z
K1 K 0.0000 0.0000 0.0000
K2 K 0.0000 0.5000 0.0000
Ho1 Ho 0.0000 0.0000 0.5000
Np1 Np 0.0000 0.5000 0.5000
S1 S 0.0000 0.0000 0.2328
S2 S 0.0029 0.5014 0.2339

---

# KPaAgSe4, relaxed, DFT GGA-PBE
# Crystal system = monoclinic
# Formation energy from raw total energies = -0.979 eV/atom
data_KPaAgSe4
_chemical_formula_sum 'K2 Pa2 Ag2 Se8'
_symmetry_space_group_name_H-M 'P 1 21/m 1'
_symmetry_Int_Tables_number 11
_symmetry_space_group_name_Hall '-P 2yb'
_cell_length_a 7.3780
_cell_length_b 5.7794
_cell_length_c 9.7876
_cell_angle_alpha 90.00
_cell_angle_beta 110.01
_cell_angle_gamma 90.00
loop_
_atom_site_label
_atom_site_type_symbol
_atom_site_fract_x
_atom_site_fract_y
_atom_site_fract_z
K1 K 0.2360 0.2500 0.4631
Pa1 Pa 0.2796 0.7500 0.0553
Ag1 Ag 0.0604 0.2500 0.7948
Se1 Se 0.1376 0.2500 0.0824
Se2 Se 0.2984 0.7500 0.3413
Se3 Se 0.3609 0.5136 0.8104

---

# KNpPbCl6, relaxed, DFT GGA-PBE
# Crystal system = trigonal
# Formation energy from raw total energies = -1.604 eV/atom
data_KNpPbCl6
_chemical_formula_sum 'K2 Np2 Pb2 Cl12'
_symmetry_space_group_name_H-M 'P -3 1 c'
_symmetry_Int_Tables_number 163
_symmetry_space_group_name_Hall '-P 3 2c'
_cell_length_a 7.4396
_cell_length_b 7.4396
_cell_length_c 13.3171
_cell_angle_alpha 90.00
_cell_angle_beta 90.00
_cell_angle_gamma 120.00
loop_
_atom_site_label
_atom_site_type_symbol
_atom_site_fract_x
_atom_site_fract_y
_atom_site_fract_z
K1 K 0.0000 0.0000 0.0000
Np1 Np 0.3333 0.6667 0.2500
Pb1 Pb 0.3333 0.6667 0.7500
Cl1 Cl 0.0180 0.3701 0.1352

---

# BaSnIO2, relaxed, DFT GGA-PBE
# E above lowest polymorph = 729 meV per atom
# Crystal system = tetragonal
# Formation energy from raw total energies = -1.052 eV/atom
data_BaSnIO2
_chemical_formula_sum 'Ba1 Sn1 I1 O2'
_symmetry_space_group_name_H-M 'P 4/m m m'
_symmetry_Int_Tables_number 123
_symmetry_space_group_name_Hall '-P 4 2'
_cell_length_a 4.5710
_cell_length_b 4.5710
_cell_length_c 5.8529
_cell_angle_alpha 90.00
_cell_angle_beta 90.00
_cell_angle_gamma 90.00
loop_
_atom_site_label
_atom_site_type_symbol
_atom_site_fract_x
_atom_site_fract_y
_atom_site_fract_z
Ba1 Ba 0.0000 0.0000 0.0000
Sn1 Sn 0.5000 0.5000 0.5000
I1 I 0.5000 0.5000 0.0000
O1 O 0.0000 0.5000 0.5000

---

# Ti2AlPt3, relaxed, DFT GGA-PBE
# Energy of formation = -0.9349 eV per atom
# Crystal system = orthorhombic
data_Ti2AlPt3
_chemical_formula_sum 'Ti8 Al4 Pt12'
_symmetry_space_group_name_H-M 'C m m m'
_symmetry_Int_Tables_number 65
_symmetry_space_group_name_Hall '-C 2 2'
_cell_length_a 4.0133
_cell_length_b 12.0448
_cell_length_c 7.5739
_cell_angle_alpha 90.00
_cell_angle_beta 90.00
_cell_angle_gamma 90.00
loop_
_atom_site_label
_atom_site_type_symbol
_atom_site_fract_x
_atom_site_fract_y
_atom_site_fract_z
Ti1 Ti 0.0000 0.0000 0.0000
Ti2 Ti 0.0000 0.0000 0.5000
Ti3 Ti 0.0000 0.3341 0.0000
Al1 Al 0.0000 0.3320 0.5000
Pt1 Pt 0.0000 0.1661 0.2617
Pt2 Pt 0.0000 0.5000 0.2576

---

# Rb2AgBrO, relaxed, DFT GGA-PBE
# Crystal system = tetragonal
# Formation energy from raw total energies = -1.082 eV/atom
data_Rb2AgBrO
_chemical_formula_sum 'Rb2 Ag1 Br1 O1'
_symmetry_space_group_name_H-M 'P 4/m m m'
_symmetry_Int_Tables_number 123
_symmetry_space_group_name_Hall '-P 4 2'
_cell_length_a 5.9197
_cell_length_b 5.9197
_cell_length_c 4.1515
_cell_angle_alpha 90.00
_cell_angle_beta 90.00
_cell_angle_gamma 90.00
loop_
_atom_site_label
_atom_site_type_symbol
_atom_site_fract_x
_atom_site_fract_y
_atom_site_fract_z
Rb1 Rb 0.0000 0.5000 0.0000
Ag1 Ag 0.0000 0.0000 0.5000
Br1 Br 0.5000 0.5000 0.5000
O1 O 0.0000 0.0000 0.0000

---

# TmPu2Mn, relaxed, DFT GGA-PBE
# E above lowest polymorph = 0 meV per atom
# Energy of formation = 0.1284 eV per atom
# Crystal system = tetragonal
data_TmPu2Mn
_chemical_formula_sum 'Tm1 Pu2 Mn1'
_symmetry_space_group_name_H-M 'P 4/m m m'
_symmetry_Int_Tables_number 123
_symmetry_space_group_name_Hall '-P 4 2'
_cell_length_a 3.3016
_cell_length_b 3.3016
_cell_length_c 8.6385
_cell_angle_alpha 90.00
_cell_angle_beta 90.00
_cell_angle_gamma 90.00
loop_
_atom_site_label
_atom_site_type_symbol
_atom_site_fract_x
_atom_site_fract_y
_atom_site_fract_z
Tm1 Tm 0.0000 0.0000 0.0000
Pu1 Pu 0.5000 0.5000 0.3017
Mn1 Mn 0.0000 0.0000 0.5000

---

# AgPt2Au, relaxed, DFT GGA-PBE
# E above lowest polymorph = 160 meV per atom
# Energy of formation = 0.1257 eV per atom
# Crystal system = trigonal
data_AgPt2Au
_chemical_formula_sum 'Ag3 Pt6 Au3'
_symmetry_space_group_name_H-M 'R -3 m'
_symmetry_Int_Tables_number 166
_symmetry_space_group_name_Hall '-R 3 2"'
_cell_length_a 2.7794
_cell_length_b 2.7794
_cell_length_c 31.2302
_cell_angle_alpha 90.00
_cell_angle_beta 90.00
_cell_angle_gamma 120.00
loop_
_atom_site_label
_atom_site_type_symbol
_atom_site_fract_x
_atom_site_fract_y
_atom_site_fract_z
Ag1 Ag 0.0000 0.0000 0.0000
Pt1 Pt 0.0000 0.0000 0.0872
Au1 Au 0.0000 0.0000 0.5000

---

no.,electronic total energy (eV for the cell shown)
1,-16.062
2,-41.855
3,-84.178
4,-117.121
5,-179.074
6,-70.358
7,-38.433
8,-25.995
9,-122.417
10,-57.883
11,-56.214
12,-315.023
13,-68.468
14,-86.529
15,-22.651
16,-173.058
17,-16.828
18,-41.791
19,-53.122